[1]
DFT (PBE) results for crystalline Y2MnBr at its relaxed geometry.

Output
The value obtained for the energy above the lowest structure with this stoichiometry is 324 meV/atom. The raw formation energy comes out at -0.09 eV per atom.

abc: 3.4175 5.2366 11.2390
angles: 90.00 90.00 90.00
Closest atoms and distances in Å follow each position.
Atoms (fractional coordinates):
Y 0.0000 0.0000 0.0000  2 Mn 3.11, 4 Br 3.15, 2 Y 3.42
Y 0.0000 0.5000 0.2181  4 Mn 3.13, 2 Br 3.28, 2 Y 3.42
Y 0.5000 0.0000 0.7181  4 Mn 3.13, 2 Br 3.28, 2 Y 3.42
Y 0.5000 0.5000 0.5000  2 Mn 3.11, 4 Br 3.15, 2 Y 3.42
Mn 0.0000 0.5000 0.7314  6 Y 3.11-3.13, 2 Br 3.17, 2 Mn 3.42
Mn 0.5000 0.0000 0.2314  6 Y 3.11-3.13, 2 Br 3.17, 2 Mn 3.42
Br 0.0000 0.0000 0.4685  6 Y 3.15-3.28, 2 Mn 3.17, 2 Br 3.42
Br 0.5000 0.5000 0.9685  6 Y 3.15-3.28, 2 Mn 3.17, 2 Br 3.42

[2]
DFT (PBE) results for crystalline Ca3FeCl8 at its relaxed geometry.

Output
The raw formation energy comes out at -1.94 eV per atom.

abc: 7.0505 7.0505 7.7495
angles: 90.00 90.00 113.70
Closest atoms and distances in Å follow each position.
Atoms (fractional coordinates):
Ca 0.0000 0.0000 0.0000  6 Cl 2.75
Ca 0.0000 0.5000 0.7449  6 Cl 2.74-2.77
Ca 0.5000 0.0000 0.2551  6 Cl 2.74-2.77
Fe 0.0000 0.0000 0.5000  6 Cl 2.49-2.53
Cl 0.2108 0.7892 0.5000  1 Fe 2.49, 2 Ca 2.74
Cl 0.2150 0.2474 0.7311  1 Fe 2.53, 2 Ca 2.75-2.77
Cl 0.2326 0.7674 0.0000  3 Ca 2.75-2.77
Cl 0.2474 0.2150 0.2689  1 Fe 2.53, 2 Ca 2.75-2.77
Cl 0.7526 0.7850 0.2689  1 Fe 2.53, 2 Ca 2.75-2.77
Cl 0.7674 0.2326 0.0000  3 Ca 2.75-2.77
Cl 0.7850 0.7526 0.7311  1 Fe 2.53, 2 Ca 2.75-2.77
Cl 0.7892 0.2108 0.5000  1 Fe 2.49, 2 Ca 2.74

[3]
DFT (PBE) results for crystalline CdBSe3 at its relaxed geometry.

Output
The value obtained for the energy above the lowest structure with this stoichiometry is 0 meV/atom. The raw formation energy comes out at 0.54 eV per atom.

abc: 4.5647 4.5647 4.5647
angles: 90.00 90.00 90.00
Closest atoms and distances in Å follow each position.
Atoms (fractional coordinates):
Cd 0.0000 0.0000 0.0000  12 Se 3.23
B 0.5000 0.5000 0.5000  6 Se 2.28
Se 0.0000 0.5000 0.5000  2 B 2.28
Se 0.5000 0.0000 0.5000  2 B 2.28
Se 0.5000 0.5000 0.0000  2 B 2.28

[4]
DFT (PBE) results for crystalline YMoN3 at its relaxed geometry.

Output
The raw formation energy comes out at -0.26 eV per atom.

abc: 7.2632 7.2632 7.2632
angles: 60.00 60.00 60.00
Closest atoms and distances in Å follow each position.
Atoms (fractional coordinates):
Y 0.0000 0.0000 0.0000  6 N 2.49
Y 0.0000 0.0000 0.5000  6 N 2.49
Y 0.0000 0.5000 0.0000  6 N 2.49
Y 0.5000 0.0000 0.0000  6 N 2.49
Mo 0.0000 0.5000 0.5000  6 N 2.01
Mo 0.5000 0.0000 0.5000  6 N 2.01
Mo 0.5000 0.5000 0.0000  6 N 2.01
Mo 0.5000 0.5000 0.5000  6 N 2.01
N 0.1656 0.1656 0.5844  2 Mo 2.01
N 0.1656 0.5844 0.1656  2 Mo 2.01
N 0.1656 0.5844 0.5844  2 Mo 2.01
N 0.4156 0.4156 0.8344  2 Mo 2.01
N 0.4156 0.8344 0.4156  2 Mo 2.01
N 0.4156 0.8344 0.8344  2 Mo 2.01
N 0.5844 0.1656 0.1656  2 Mo 2.01
N 0.5844 0.1656 0.5844  2 Mo 2.01
N 0.5844 0.5844 0.1656  2 Mo 2.01
N 0.8344 0.4156 0.4156  2 Mo 2.01
N 0.8344 0.4156 0.8344  2 Mo 2.01
N 0.8344 0.8344 0.4156  2 Mo 2.01

[5]
DFT (PBE) results for crystalline Hg2Se at its relaxed geometry.

Output
The value obtained for the energy above the lowest structure with this stoichiometry is 134 meV/atom. The raw formation energy comes out at 0.04 eV per atom.

abc: 6.9723 12.4990 3.9073
angles: 90.00 90.00 90.00
Closest atoms and distances in Å follow each position.
Atoms (fractional coordinates):
Hg 0.0000 0.0000 0.0000  4 Hg 2.99
Hg 0.0000 0.1814 0.5000  2 Se 2.88, 2 Hg 2.99
Hg 0.0000 0.5000 0.5000  4 Se 2.70
Hg 0.0000 0.8186 0.5000  2 Se 2.88, 2 Hg 2.99
Hg 0.5000 0.0000 0.5000  4 Se 2.70
Hg 0.5000 0.3186 0.5000  2 Se 2.88, 2 Hg 2.99
Hg 0.5000 0.5000 0.0000  4 Hg 2.99
Hg 0.5000 0.6814 0.5000  2 Se 2.88, 2 Hg 2.99
Se 0.0000 0.3512 0.0000  4 Hg 2.70-2.88
Se 0.0000 0.6488 0.0000  4 Hg 2.70-2.88
Se 0.5000 0.1488 0.0000  4 Hg 2.70-2.88
Se 0.5000 0.8512 0.0000  4 Hg 2.70-2.88

[6]
DFT (PBE) results for crystalline ScPaZnRe at its relaxed geometry.

Output
Its final energy is -119.6 eV per cell.

abc: 6.8036 6.8036 6.8036
angles: 90.00 90.00 90.00
Closest atoms and distances in Å follow each position.
Atoms (fractional coordinates):
Sc 0.0000 0.0000 0.0000  4 Re 2.95, 4 Zn 2.95
Sc 0.0000 0.5000 0.5000  4 Re 2.95, 4 Zn 2.95
Sc 0.5000 0.0000 0.5000  4 Re 2.95, 4 Zn 2.95
Sc 0.5000 0.5000 0.0000  4 Re 2.95, 4 Zn 2.95
Pa 0.0000 0.0000 0.5000  4 Re 2.95, 4 Zn 2.95
Pa 0.0000 0.5000 0.0000  4 Re 2.95, 4 Zn 2.95
Pa 0.5000 0.0000 0.0000  4 Re 2.95, 4 Zn 2.95
Pa 0.5000 0.5000 0.5000  4 Zn 2.95, 4 Re 2.95
Zn 0.2500 0.2500 0.7500  4 Pa 2.95, 4 Sc 2.95
Zn 0.2500 0.7500 0.2500  4 Pa 2.95, 4 Sc 2.95
Zn 0.7500 0.2500 0.2500  4 Pa 2.95, 4 Sc 2.95
Zn 0.7500 0.7500 0.7500  4 Pa 2.95, 4 Sc 2.95
Re 0.2500 0.2500 0.2500  4 Pa 2.95, 4 Sc 2.95
Re 0.2500 0.7500 0.7500  4 Pa 2.95, 4 Sc 2.95
Re 0.7500 0.2500 0.7500  4 Pa 2.95, 4 Sc 2.95
Re 0.7500 0.7500 0.2500  4 Pa 2.95, 4 Sc 2.95

[7]
DFT (PBE) results for crystalline Hg2TeBr at its relaxed geometry.

Output
The value obtained for the energy above the lowest structure with this stoichiometry is 76 meV/atom. The raw formation energy comes out at -0.18 eV per atom.

abc: 6.1237 5.8924 14.9020
angles: 90.00 114.24 90.00
Closest atoms and distances in Å follow each position.
Atoms (fractional coordinates):
Hg 0.1027 0.2488 0.1023  3 Te 2.96-3.10, 2 Br 3.08
Hg 0.1027 0.7512 0.6023  3 Te 2.96-3.10, 2 Br 3.08
Hg 0.3500 0.2511 0.8505  2 Br 2.97, 3 Te 3.05-3.08
Hg 0.3500 0.7489 0.3505  2 Br 2.97, 3 Te 3.05-3.08
Hg 0.6500 0.2511 0.6495  2 Br 2.97, 3 Te 3.05-3.08
Hg 0.6500 0.7489 0.1495  2 Br 2.97, 3 Te 3.05-3.08
Hg 0.8973 0.2488 0.3977  3 Te 2.96-3.10, 2 Br 3.08
Hg 0.8973 0.7512 0.8977  3 Te 2.96-3.10, 2 Br 3.08
Te 0.1263 0.2510 0.6259  6 Hg 2.96-3.10
Te 0.1263 0.7490 0.1259  6 Hg 2.96-3.10
Te 0.8737 0.2510 0.8741  6 Hg 2.96-3.10
Te 0.8737 0.7490 0.3741  6 Hg 2.96-3.10
Br 0.3757 0.2490 0.3761  4 Hg 2.97-3.08
Br 0.3757 0.7510 0.8761  4 Hg 2.97-3.08
Br 0.6243 0.2490 0.1239  4 Hg 2.97-3.08
Br 0.6243 0.7510 0.6239  4 Hg 2.97-3.08

[8]
DFT (PBE) results for crystalline PmMgSb2 at its relaxed geometry.

Output
The value obtained for the energy above the lowest structure with this stoichiometry is 0 meV/atom. The raw formation energy comes out at -0.71 eV per atom.

abc: 4.4208 4.4208 11.0319
angles: 90.00 90.00 90.00
Closest atoms and distances in Å follow each position.
Atoms (fractional coordinates):
Pm 0.2500 0.2500 0.2182  8 Sb 3.27-3.33
Pm 0.7500 0.7500 0.7818  8 Sb 3.27-3.33
Mg 0.2500 0.7500 0.5000  4 Sb 2.95, 4 Mg 3.13
Mg 0.7500 0.2500 0.5000  4 Sb 2.95, 4 Mg 3.13
Sb 0.2500 0.2500 0.6770  4 Mg 2.95
Sb 0.2500 0.7500 0.0000  4 Sb 3.13, 4 Pm 3.27
Sb 0.7500 0.2500 0.0000  4 Sb 3.13, 4 Pm 3.27
Sb 0.7500 0.7500 0.3230  4 Mg 2.95